The following is a DFT calculation (PBE-GGA) of an optimized crystal structure of LiNdGa4.

For the formation energy, the calculation gives -2.2 eV/f.u. The total energy comes out at -3.500 eV/atom. As for the theoretical density: 5.97 g/cm3. As for the density of states at the Fermi level: 9.627 states/eV/cell.

The structure belongs to space group F-43m (No. 216); the cell edges are 7.8196, 7.8196 and 7.8196 Å and the angles 90.00°, 90.00° and 90.00°. The inequivalent atoms are Li at (0.0000, 0.0000, 0.0000), Nd at (0.2500, 0.2500, 0.7500) and Ga at (0.1250, 0.1250, 0.3750).



The following is a DFT calculation (PBE-GGA) of an optimized crystal structure of Li3NdGa8.

For the formation energy, the calculation gives -4.3 eV/f.u. The total energy comes out at -3.252 eV/atom. As for the theoretical density: 5.41 g/cm3. As for the density of states at the Fermi level: 2.191 states/eV/cell.

The structure belongs to space group P6/mmm (No. 191); the cell edges are 4.3723, 4.3723 and 13.3912 Å and the angles 90.00°, 90.00° and 120.00°. The inequivalent atoms are Li at (0.0000, 0.0000, 0.0000), Li at (0.0000, 0.0000, 0.2361), Nd at (0.0000, 0.0000, 0.5000), Ga at (0.3333, 0.6667, 0.1238) and Ga at (0.3333, 0.6667, 0.3527).



The following is a DFT calculation (PBE-GGA) of an optimized crystal structure of Li3NdGa3.

Its energy above the lowest structure with this stoichiometry is 83 meV per atom. For the formation energy, the calculation gives -1.8 eV/f.u. The total energy comes out at -3.051 eV/atom. As for the theoretical density: 4.57 g/cm3. As for the density of states at the Fermi level: 12.097 states/eV/cell.

The structure belongs to space group R-3 (No. 148, hexagonal axes); the cell edges are 8.0147, 8.0147 and 14.6613 Å and the angles 90.00°, 90.00° and 120.00°. The inequivalent atoms are Li at (0.0211, 0.2340, 0.4357), Nd at (0.0000, 0.0000, 0.2026) and Ga at (0.0021, 0.7183, 0.0484).



The following is a DFT calculation (PBE-GGA) of an optimized crystal structure of Li3NdGa2.

Its energy above the lowest structure with this stoichiometry is 53 meV per atom. For the formation energy, the calculation gives -1.7 eV/f.u. The total energy comes out at -3.039 eV/atom. As for the theoretical density: 4.24 g/cm3. As for the density of states at the Fermi level: 14.997 states/eV/cell.

The structure belongs to space group P6/mmm (No. 191); the cell edges are 9.6136, 9.6136 and 4.4686 Å and the angles 90.00°, 90.00° and 120.00°. The inequivalent atoms are Li at (0.0000, 0.2928, 0.0000), Li at (0.0000, 0.5000, 0.5000), Nd at (0.0000, 0.0000, 0.5000), Nd at (0.3333, 0.6667, 0.0000) and Ga at (0.1884, 0.3768, 0.5000).



The following is a DFT calculation (PBE-GGA) of an optimized crystal structure of Li4Nd5Ga4.

For the formation energy, the calculation gives -4.5 eV/f.u. The total energy comes out at -3.701 eV/atom. As for the theoretical density: 5.43 g/cm3. As for the density of states at the Fermi level: 16.608 states/eV/cell.

The structure belongs to space group I4/m (No. 87); the cell edges are 11.7827, 11.7827 and 4.5311 Å and the angles 90.00°, 90.00° and 90.00°. The inequivalent atoms are Li at (0.0706, 0.4000, 0.0000), Nd at (0.0000, 0.0000, 0.5000), Nd at (0.1298, 0.7880, 0.0000) and Ga at (0.0552, 0.2566, 0.5000).



The following is a DFT calculation (PBE-GGA) of an optimized crystal structure of Li3NdGa2.

Its energy above the lowest structure with this stoichiometry is 0 meV per atom. For the formation energy, the calculation gives -2.0 eV/f.u. The total energy comes out at -3.091 eV/atom. As for the theoretical density: 4.23 g/cm3. As for the density of states at the Fermi level: 11.128 states/eV/cell.

The structure belongs to space group C2/m (No. 12); the cell edges are 13.9212, 4.5972 and 8.5214 Å and the angles 90.00°, 118.62° and 90.00°. The inequivalent atoms are Li at (0.0622, 0.0000, 0.3881), Li at (0.0913, 0.5000, 0.6919), Li at (0.2095, 0.5000, 0.5248), Nd at (0.1358, 0.0000, 0.0177), Ga at (0.0556, 0.5000, 0.1824) and Ga at (0.2227, 0.0000, 0.7401).



The following is a DFT calculation (PBE-GGA) of an optimized crystal structure of Li2NdGa.

For the formation energy, the calculation gives -1.1 eV/f.u. The total energy comes out at -3.178 eV/atom. As for the theoretical density: 4.88 g/cm3. As for the density of states at the Fermi level: 10.329 states/eV/cell.

The structure belongs to space group Fm-3m (No. 225); the cell edges are 6.7672, 6.7672 and 6.7672 Å and the angles 90.00°, 90.00° and 90.00°. The inequivalent atoms are Li at (0.2500, 0.2500, 0.2500), Nd at (0.0000, 0.0000, 0.0000) and Ga at (0.0000, 0.0000, 0.5000).



The following is a DFT calculation (PBE-GGA) of an optimized crystal structure of LiNdGa.

Its energy above the lowest structure with this stoichiometry is 0 meV per atom. For the formation energy, the calculation gives -1.1 eV/f.u. The total energy comes out at -3.618 eV/atom. As for the theoretical density: 5.27 g/cm3. As for the density of states at the Fermi level: 10.257 states/eV/cell.

The structure belongs to space group P-62m (No. 189); the cell edges are 7.2263, 7.2263 and 4.6169 Å and the angles 90.00°, 90.00° and 120.00°. The inequivalent atoms are Li at (0.0000, 0.2297, 0.0000), Nd at (0.0000, 0.5780, 0.5000), Ga at (0.0000, 0.0000, 0.5000) and Ga at (0.3333, 0.6667, 0.0000).



The following is a DFT calculation (PBE-GGA) of an optimized crystal structure of Li4Nd3Ga4.

For the formation energy, the calculation gives -3.9 eV/f.u. The total energy comes out at -3.455 eV/atom. As for the theoretical density: 5.21 g/cm3. As for the density of states at the Fermi level: 27.037 states/eV/cell.

The structure belongs to space group Immm (No. 71); the cell edges are 4.6527, 6.8323 and 14.8212 Å and the angles 90.00°, 90.00° and 90.00°. The inequivalent atoms are Li at (0.0000, 0.1922, 0.1692), Nd at (0.0000, 0.0000, 0.3681), Nd at (0.0000, 0.5000, 0.5000), Ga at (0.0000, 0.3142, 0.0000) and Ga at (0.0000, 0.5000, 0.2890).



The following is a DFT calculation (PBE-GGA) of an optimized crystal structure of LiNd3Ga2.

Its energy above the lowest structure with this stoichiometry is 0 meV per atom. For the formation energy, the calculation gives -2.3 eV/f.u. The total energy comes out at -4.098 eV/atom. As for the theoretical density: 6.24 g/cm3. As for the density of states at the Fermi level: 11.822 states/eV/cell.

The structure belongs to space group P-3m1 (No. 164); the cell edges are 5.2559, 5.2559 and 12.8778 Å and the angles 90.00°, 90.00° and 120.00°. The inequivalent atoms are Li at (0.3333, 0.6667, 0.1727), Nd at (0.0000, 0.0000, 0.2576), Nd at (0.3333, 0.6667, 0.4229), Nd at (0.3333, 0.6667, 0.9178), Ga at (0.0000, 0.0000, 0.0000), Ga at (0.0000, 0.0000, 0.5000) and Ga at (0.3333, 0.6667, 0.6785).



The following is a DFT calculation (PBE-GGA) of an optimized crystal structure of LiNd6Ga.

For the formation energy, the calculation gives -1.0 eV/f.u. The total energy comes out at -4.315 eV/atom. As for the theoretical density: 6.40 g/cm3. As for the density of states at the Fermi level: 19.374 states/eV/cell.

The structure belongs to space group I4/mmm (No. 139); the cell edges are 5.1936, 5.1936 and 18.1303 Å and the angles 90.00°, 90.00° and 90.00°. The inequivalent atoms are Li at (0.0000, 0.0000, 0.0000), Nd at (0.0000, 0.0000, 0.2498), Nd at (0.0000, 0.5000, 0.1060) and Ga at (0.0000, 0.0000, 0.5000).



The following is a DFT calculation (PBE-GGA) of an optimized crystal structure of LiNd3Ga8.

For the formation energy, the calculation gives -5.7 eV/f.u. The total energy comes out at -3.847 eV/atom. As for the theoretical density: 6.72 g/cm3. As for the density of states at the Fermi level: 16.135 states/eV/cell.

The structure belongs to space group R3m (No. 160, hexagonal axes); the cell edges are 5.5821, 5.5821 and 27.4104 Å and the angles 90.00°, 90.00° and 120.00°. The inequivalent atoms are Li at (0.0000, 0.0000, 0.0000), Nd at (0.0000, 0.0000, 0.1215), Nd at (0.0000, 0.0000, 0.5034), Nd at (0.0000, 0.0000, 0.6326), Ga at (0.0000, 0.0000, 0.3165), Ga at (0.0000, 0.0000, 0.8165), Ga at (0.9999, 0.5000, 0.5669) and Ga at (0.0013, 0.5006, 0.0666).